Entry from the Alexandria database: an optimized crystal structure of EuErTmLu (GGA-PBE).

Properties
ΔH_f (0 K) in meV/atom: 167
Total energy in eV/atom: -5.790
D(E_F) in states/eV per atom: 1.939

Cell: 8.0029 8.0029 8.0029 Å, 90.00 90.00 90.00°
Space group F-43m (No. 216)
Symmetry-distinct sites (fractional):
Eu: 0.0000 0.0000 0.0000
Er: 0.0000 0.0000 0.5000
Tm: 0.2500 0.2500 0.2500
Lu: 0.2500 0.2500 0.7500